Entry 1:
Here is an optimized crystal structure of CaNdAu3 from Alexandria. Energies are from GGA-PBE.

Lattice parameters (Å, degrees): 3.714 4.660 14.261 90.00 97.48 90.00
Atoms (fractional coordinates):
Ca  0.208  0.750  0.415
Ca  0.792  0.250  0.585
Nd  0.927  0.750  0.855
Nd  0.073  0.250  0.145
Au  0.622  0.750  0.244
Au  0.378  0.250  0.756
Au  0.525  0.750  0.050
Au  0.475  0.250  0.950
Au  0.681  0.250  0.361
Au  0.319  0.750  0.639

Summary:
The value obtained for the calculated formation energy is -0.7503 eV/atom. The calculation puts the total DFT energy (no corrections) at -20.35 eV/f.u.


Entry 2:
Here is an optimized crystal structure of CaNd3Au4 from Alexandria. Energies are from GGA-PBE.

Lattice parameters (Å, degrees): 6.405 6.405 6.405 109.47 109.47 109.47
Atoms (fractional coordinates):
Au  0.000  0.000  0.500
Au  0.500  0.500  0.500
Au  0.500  0.000  0.000
Au  0.000  0.500  0.000
Ca  0.000  0.000  0.000
Nd  0.000  0.500  0.500
Nd  0.500  0.000  0.500
Nd  0.500  0.500  0.000

Summary:
The value obtained for the calculated formation energy is -0.7728 eV/atom. The calculation puts the total DFT energy (no corrections) at -35.60 eV/f.u.


Entry 3:
Here is an optimized crystal structure of CaNdAu2 from Alexandria. Energies are from GGA-PBE.

Lattice parameters (Å, degrees): 3.665 5.208 5.208 90.00 90.00 90.00
Atoms (fractional coordinates):
Nd  0.500  0.500  0.500
Ca  0.500  0.000  0.000
Au  0.000  0.000  0.500
Au  0.000  0.500  0.000

Summary:
The value obtained for the calculated formation energy is -0.7863 eV/atom. The calculation puts the total DFT energy (no corrections) at -16.47 eV/f.u.


Entry 4:
Here is an optimized crystal structure of CaNdAu from Alexandria. Energies are from GGA-PBE.

Lattice parameters (Å, degrees): 3.715 3.715 7.051 105.27 105.27 90.00
Atoms (fractional coordinates):
Nd  0.300  0.300  0.599
Ca  0.030  0.030  0.060
Au  0.671  0.671  0.341

Summary:
The value obtained for the calculated formation energy is -0.5027 eV/atom. The value obtained for the excess energy over the best structure of this formula in the dataset is 17 meV per atom. The calculation puts the total DFT energy (no corrections) at -11.55 eV/f.u.


Entry 5:
Here is an optimized crystal structure of Ca3NdAu3 from Alexandria. Energies are from GGA-PBE.

Lattice parameters (Å, degrees): 7.328 7.328 7.297 90.00 90.00 87.56
Atoms (fractional coordinates):
Ca  0.242  0.242  0.500
Ca  0.251  0.749  0.500
Ca  0.749  0.251  0.500
Ca  0.263  0.737  0.000
Ca  0.737  0.263  0.000
Ca  0.758  0.758  0.500
Nd  0.229  0.229  0.000
Nd  0.771  0.771  0.000
Au  0.000  0.000  0.746
Au  0.500  0.000  0.247
Au  0.000  0.500  0.247
Au  0.500  0.000  0.753
Au  0.000  0.500  0.753
Au  0.000  0.000  0.254

Summary:
The value obtained for the calculated formation energy is -0.6509 eV/atom. The calculation puts the total DFT energy (no corrections) at -25.16 eV/f.u.


Entry 6:
Here is an optimized crystal structure of Ca2NdAu4 from Alexandria. Energies are from GGA-PBE.

Lattice parameters (Å, degrees): 5.266 5.266 7.615 110.23 110.23 90.00
Atoms (fractional coordinates):
Au  0.380  0.880  0.761
Au  0.880  0.380  0.761
Au  0.620  0.120  0.239
Au  0.120  0.620  0.239
Ca  0.726  0.726  0.453
Ca  0.274  0.274  0.547
Nd  0.000  0.000  0.000

Summary:
The value obtained for the calculated formation energy is -0.6398 eV/atom. The calculation puts the total DFT energy (no corrections) at -26.36 eV/f.u.


Entry 7:
Here is an optimized crystal structure of Ca2NdAu from Alexandria. Energies are from GGA-PBE.

Lattice parameters (Å, degrees): 6.614 7.600 10.341 90.00 90.00 90.00
Atoms (fractional coordinates):
Ca  0.166  0.680  0.062
Ca  0.334  0.180  0.438
Ca  0.834  0.320  0.562
Ca  0.666  0.820  0.938
Ca  0.834  0.320  0.938
Ca  0.666  0.820  0.562
Ca  0.166  0.680  0.438
Ca  0.334  0.180  0.062
Nd  0.638  0.532  0.250
Nd  0.862  0.032  0.250
Nd  0.362  0.468  0.750
Nd  0.138  0.968  0.750
Au  0.059  0.385  0.250
Au  0.441  0.885  0.250
Au  0.941  0.615  0.750
Au  0.559  0.115  0.750

Summary:
The value obtained for the calculated formation energy is -0.4039 eV/atom. The value obtained for the excess energy over the best structure of this formula in the dataset is 0 meV per atom. The calculation puts the total DFT energy (no corrections) at -13.66 eV/f.u.


Entry 8:
Here is an optimized crystal structure of CaNdAu2 from Alexandria. Energies are from GGA-PBE.

Lattice parameters (Å, degrees): 5.193 5.193 5.193 60.00 60.00 60.00
Atoms (fractional coordinates):
Nd  0.750  0.750  0.750
Ca  0.250  0.250  0.250
Au  0.500  0.500  0.500
Au  0.000  0.000  0.000

Summary:
The value obtained for the calculated formation energy is -0.8078 eV/atom. The calculation puts the total DFT energy (no corrections) at -16.56 eV/f.u.


Entry 9:
Here is an optimized crystal structure of CaNdAu2 from Alexandria. Energies are from GGA-PBE.

Lattice parameters (Å, degrees): 4.301 4.301 7.503 73.34 73.34 60.00
Atoms (fractional coordinates):
Nd  0.500  0.500  0.500
Ca  0.000  0.000  0.000
Au  0.750  0.750  0.749
Au  0.250  0.250  0.251

Summary:
The value obtained for the calculated formation energy is -0.7073 eV/atom. The calculation puts the total DFT energy (no corrections) at -16.15 eV/f.u.


Entry 10:
Here is an optimized crystal structure of Ca2NdAu from Alexandria. Energies are from GGA-PBE.

Lattice parameters (Å, degrees): 3.602 3.602 9.592 90.00 90.00 90.00
Atoms (fractional coordinates):
Nd  0.500  0.500  0.500
Ca  0.000  0.000  0.811
Ca  0.000  0.000  0.189
Au  0.500  0.500  0.000

Summary:
The value obtained for the calculated formation energy is -0.3466 eV/atom. The value obtained for the excess energy over the best structure of this formula in the dataset is 57 meV per atom. The calculation puts the total DFT energy (no corrections) at -13.43 eV/f.u.


Entry 11:
Here is an optimized crystal structure of CaNdAu from Alexandria. Energies are from GGA-PBE.

Lattice parameters (Å, degrees): 4.097 4.978 4.978 120.00 90.00 90.00
Atoms (fractional coordinates):
Nd  0.068  0.000  0.000
Ca  0.592  0.667  0.333
Au  0.340  0.333  0.667

Summary:
The value obtained for the calculated formation energy is -0.3461 eV/atom. The value obtained for the excess energy over the best structure of this formula in the dataset is 174 meV per atom. The calculation puts the total DFT energy (no corrections) at -11.09 eV/f.u.


Entry 12:
Here is an optimized crystal structure of CaNdAu from Alexandria. Energies are from GGA-PBE.

Lattice parameters (Å, degrees): 5.101 5.101 5.101 60.00 60.00 60.00
Atoms (fractional coordinates):
Nd  0.000  0.000  0.000
Ca  0.500  0.500  0.500
Au  0.250  0.250  0.250

Summary:
The value obtained for the calculated formation energy is -0.4652 eV/atom. The value obtained for the excess energy over the best structure of this formula in the dataset is 55 meV per atom. The calculation puts the total DFT energy (no corrections) at -11.44 eV/f.u.